# 1
CuBSe2: relaxed, PBE.

Summary:
ΔE_f (raw) = -18 meV per atom

POSCAR file:
```
CuBSe2
1.0
-4.2637 3.9275 -2.5754
-2.3889 -1.0561 2.3442
3.4042 6.2628 3.8944
Se B Cu
4 2 2
direct
0.6527 0.4060 0.6286
0.5993 0.9008 0.1524
0.1532 0.4814 0.3028
0.0985 0.9865 0.7789
0.9511 0.4407 0.6952
0.4516 0.4466 0.2362
0.6226 0.8048 0.4304
0.1225 0.0827 0.5009
```


# 2
Sc2AgSe2: relaxed, PBE.

Summary:
E above lowest polymorph = 31 meV/atom
ΔE_f (raw) = -1006 meV per atom

POSCAR file:
```
Sc2AgSe2
1.0
-0.7897 -4.9152 5.7108
2.7128 -5.5425 -4.3952
3.3000 0.7449 1.0975
Ag Se Sc
2 4 4
direct
0.0000 0.0000 0.0000
0.5000 0.5000 0.0000
0.1498 0.6498 0.5000
0.3502 0.1498 0.5000
0.8502 0.3502 0.5000
0.6498 0.8502 0.5000
0.1470 0.3530 0.0000
0.8530 0.6470 0.0000
0.6470 0.1470 0.0000
0.3530 0.8530 0.0000
```


# 3
TaTcHg2: relaxed, PBE.

Summary:
E above lowest polymorph = 311 meV/atom

POSCAR file:
```
TaTcHg2
1.0
2.9174 0.0000 0.0000
0.0000 4.4340 0.0000
0.0000 0.0000 5.6613
Hg Ta Tc
2 1 1
direct
0.0000 0.0000 0.9969
0.0000 0.0000 0.5031
0.5000 0.5000 0.2500
0.5000 0.5000 0.7500
```


# 4
Ag2MoPd5: relaxed, PBE.

Summary:
Energy = -5.36 eV per atom

POSCAR file:
```
Ag2MoPd5
1.0
3.9265 0.0000 -0.7614
-0.1477 3.9237 -0.7614
-0.4023 -0.4177 8.4302
Pd Ag Mo
5 2 1
direct
0.3826 0.8826 0.7653
0.8826 0.3826 0.7653
0.5000 0.5000 0.0000
0.6174 0.1174 0.2347
0.1174 0.6174 0.2347
0.7478 0.7478 0.4956
0.2522 0.2522 0.5044
0.0000 0.0000 0.0000
```


# 5
PmPrAlAg: relaxed, PBE.

Summary:
E above lowest polymorph = 30 meV/atom

POSCAR file:
```
PmPrAlAg
1.0
5.3259 0.0000 0.0000
2.6629 4.6124 0.0000
2.6629 1.5375 4.3486
Ag Pm Pr Al
1 1 1 1
direct
0.2500 0.2500 0.2500
0.0000 0.0000 0.0000
0.5000 0.5000 0.5000
0.7500 0.7500 0.7500
```


# 6
PuMnPt2: relaxed, PBE.

Summary:
E above lowest polymorph = 114 meV/atom

POSCAR file:
```
PuMnPt2
1.0
4.7432 0.0000 0.0000
2.3716 4.1078 0.0000
2.3716 1.3693 3.8728
Pu Mn Pt
1 1 2
direct
0.0000 0.0000 0.0000
0.5000 0.5000 0.5000
0.2500 0.2500 0.2500
0.7500 0.7500 0.7500
```


# 7
Rb2TaBAu: relaxed, PBE.

Summary:
Energy = -3.34 eV per atom

POSCAR file:
```
Rb2TaBAu
1.0
-1.2681 0.0729 6.5540
-0.2956 -4.0034 -0.0127
6.5360 -0.4866 1.2700
Ta B Rb Au
1 1 2 1
direct
0.5000 0.5000 0.5000
0.0000 0.0000 0.0000
0.5000 0.0000 0.0000
0.0000 0.0000 0.5000
0.0000 0.5000 0.0000
```


# 8
LiTa2Pb: relaxed, PBE.

Summary:
Energy = -6.65 eV per atom

POSCAR file:
```
LiTa2Pb
1.0
2.9951 -0.0062 0.0000
-1.4097 2.6427 0.0000
0.0000 0.0000 10.3664
Pb Ta Li
1 2 1
direct
0.5000 0.5000 0.7500
0.0000 0.0000 0.0000
0.0000 0.0000 0.5000
0.5000 0.5000 0.2500
```


# 9
K2TcN3: relaxed, PBE.

Summary:
ΔE_f (raw) = -179 meV per atom

POSCAR file:
```
K2TcN3
1.0
6.2385 0.0000 -2.9625
0.0000 6.0524 0.0000
-0.5740 0.0000 6.8823
Tc N K
2 6 4
direct
0.1633 0.9649 0.1633
0.8367 0.4649 0.8367
0.4306 0.9684 0.1896
0.5694 0.4684 0.8104
0.0061 0.7088 0.0061
0.9939 0.2088 0.9939
0.8104 0.4684 0.5694
0.1896 0.9684 0.4306
0.1394 0.4657 0.4440
0.5560 0.9657 0.8606
0.4440 0.4657 0.1394
0.8606 0.9657 0.5560
```


# 10
Al3Os2: relaxed, PBE.

Summary:
E above lowest polymorph = 241 meV/atom

POSCAR file:
```
Al3Os2
1.0
0.0000 4.4055 6.6689
2.4367 0.0000 6.6689
2.4367 4.4055 0.0000
Os Al
4 6
direct
0.7062 0.9029 0.3181
0.3471 0.5438 0.1772
0.0728 0.3181 0.9029
0.9319 0.1772 0.5438
0.3198 0.4660 0.7244
0.1615 0.3385 0.3385
0.9115 0.0885 0.0885
0.5256 0.7602 0.9302
0.7840 0.9302 0.7602
0.4898 0.7244 0.4660
```


# 11
Ba3Ta: relaxed, PBE.

Summary:
E above lowest polymorph = 485 meV/atom

POSCAR file:
```
Ba3Ta
1.0
5.5494 0.0000 0.0000
0.0000 5.5494 0.0000
0.0000 0.0000 5.5494
Ta Ba
1 3
direct
0.0000 0.0000 0.0000
0.5000 0.5000 0.0000
0.0000 0.5000 0.5000
0.5000 0.0000 0.5000
```


# 12
CsSr4Bi4: relaxed, PBE.

Summary:
Energy = -3.22 eV per atom

POSCAR file:
```
CsSr4Bi4
1.0
-3.1336 -5.7120 -1.7293
9.7579 -5.6395 0.9457
-2.2482 -2.0638 10.8904
Bi Sr Cs
8 8 2
direct
0.5994 0.1756 0.6634
0.0994 0.8366 0.6756
0.9006 0.3244 0.8366
0.4006 0.6634 0.8244
0.0994 0.1634 0.3244
0.4006 0.3366 0.1756
0.9006 0.6756 0.1634
0.5994 0.8244 0.3366
0.8992 0.6267 0.8559
0.6008 0.8733 0.6441
0.8992 0.3733 0.1441
0.1008 0.1441 0.6267
0.1008 0.8559 0.3733
0.3992 0.3559 0.8733
0.6008 0.1267 0.3559
0.3992 0.6441 0.1267
0.0000 0.0000 0.0000
0.5000 0.5000 0.5000
```